*a*
# CoTe2IN

An optimized crystal structure of CoTe2IN (PBE, Alexandria via LeMat-Bulk).

The structure in POSCAR format:
```
CoTe2IN
1.0
5.940 0.000 0.000
0.000 5.940 0.000
0.000 0.000 3.886
Co Te I N
1 2 1 1
Direct
0.000 0.000 0.000
0.000 0.500 0.500
0.500 0.000 0.500
0.500 0.500 0.500
0.500 0.500 0.000
```

Results
Magnetic moment: 2.4 Bohr magnetons per cell
N(E_F): 0.81 states/eV per atom

***

*b*
# CoTe2IN

An optimized crystal structure of CoTe2IN (PBE, Alexandria via LeMat-Bulk).

The structure in POSCAR format:
```
CoTe2IN
1.0
4.811 0.000 0.000
0.000 4.811 0.000
0.000 0.000 4.745
Co Te I N
1 2 1 1
Direct
0.000 0.000 0.000
0.000 0.500 0.500
0.500 0.000 0.500
0.500 0.500 0.000
0.500 0.500 0.500
```

Results
Magnetic moment: 2.6 Bohr magnetons per cell
N(E_F): 1.15 states/eV per atom

***

*c*
# CoTe2IN

An optimized crystal structure of CoTe2IN (PBE, Alexandria via LeMat-Bulk).

The structure in POSCAR format:
```
CoTe2IN
1.0
5.632 0.000 0.000
0.000 5.632 0.000
0.000 0.000 3.442
Co Te I N
1 2 1 1
Direct
0.000 0.000 0.000
0.000 0.500 0.000
0.500 0.000 0.000
0.500 0.500 0.500
0.000 0.000 0.500
```

Results
Magnetic moment: 0.0 Bohr magnetons per cell
N(E_F): 0.92 states/eV per atom

***

*d*
# CoTe2IN

An optimized crystal structure of CoTe2IN (PBE, Alexandria via LeMat-Bulk).

The structure in POSCAR format:
```
CoTe2IN
1.0
4.958 0.000 0.000
0.000 4.958 0.000
0.000 0.000 5.593
Co Te I N
1 2 1 1
Direct
0.000 0.000 0.000
0.000 0.500 0.000
0.500 0.000 0.000
0.000 0.000 0.500
0.500 0.500 0.500
```

Results
Magnetic moment: 1.8 Bohr magnetons per cell
N(E_F): 0.88 states/eV per atom

***

On energetic grounds, *c* is preferred over the next structure by 0.758 eV/atom.